Entry 1:
{
  "formula": "Pa3Te3H2",
  "functional": "PBE",
  "state": "relaxed",
  "lattice_angstrom": [[2.0194, -5.6618, 0.0000], [2.0194, 5.6618, 0.0000], [0.0000, 0.0000, 15.3326]],
  "species": ["Pa", "Pa", "Pa", "Pa", "Pa", "Pa", "Te", "Te", "Te", "Te", "Te", "Te", "H", "H", "H", "H"],
  "fractional_positions": [[0.1486, 0.8514, 0.5501], [0.1486, 0.8514, 0.9499], [0.1499, 0.8501, 0.2500], [0.8501, 0.1499, 0.7500], [0.8514, 0.1486, 0.0501], [0.8514, 0.1486, 0.4499], [0.1382, 0.8618, 0.7500], [0.4324, 0.5676, 0.6037], [0.4324, 0.5676, 0.8963], [0.5676, 0.4324, 0.1037], [0.5676, 0.4324, 0.3963], [0.8618, 0.1382, 0.2500], [0.2661, 0.7339, 0.0699], [0.2661, 0.7339, 0.4301], [0.7339, 0.2661, 0.5699], [0.7339, 0.2661, 0.9301]],
  "n_ef_per_ev_atom": 1.554,
  "total_energy_ev_per_atom": -6.189,
  "magmom_total_mub_per_cell": 9.1,
  "spacegroup": "Cmcm (63)"
}

***

Entry 2:
{
  "formula": "YI2O",
  "functional": "PBE",
  "state": "relaxed",
  "lattice_angstrom": [[-3.9468, 3.9468, 3.5832], [3.9468, -3.9468, 3.5832], [3.9468, 3.9468, -3.5832]],
  "species": ["Y", "Y", "I", "I", "I", "I", "O", "O"],
  "fractional_positions": [[0.0000, 0.0000, 0.0000], [0.7500, 0.2500, 0.5000], [0.1377, 0.6250, 0.0127], [0.3750, 0.3877, 0.5127], [0.6123, 0.1250, 0.9873], [0.8750, 0.8623, 0.4873], [0.2500, 0.7500, 0.5000], [0.5000, 0.5000, 0.0000]],
  "n_ef_per_ev_atom": 0.729,
  "total_energy_ev_per_atom": -4.014,
  "magmom_total_mub_per_cell": 2.0,
  "relative_energy_mev_per_atom": 179.2,
  "formation_energy_uncorrected_mev_per_atom": -383,
  "spacegroup": "I-42d (122)"
}

***

Entry 3:
{
  "formula": "NdHoS",
  "functional": "PBE",
  "state": "relaxed",
  "lattice_angstrom": [[3.8408, 0.0000, 0.0000], [-1.9204, 3.3263, 0.0000], [0.0000, 0.0000, 6.4698]],
  "species": ["Nd", "Ho", "S"],
  "fractional_positions": [[0.0000, 0.0000, 0.0000], [0.6667, 0.3333, 0.4776], [0.3333, 0.6667, 0.7230]],
  "n_ef_per_ev_atom": 0.352,
  "total_energy_ev_per_atom": -5.741,
  "magmom_total_mub_per_cell": 0.0,
  "relative_energy_mev_per_atom": 0.0,
  "formation_energy_uncorrected_mev_per_atom": -1250,
  "spacegroup": "P3m1 (156)"
}

***

Entry 4:
{
  "formula": "Dy8YEr6",
  "functional": "PBE",
  "state": "relaxed",
  "lattice_angstrom": [[9.3526, 0.0000, 0.0000], [-4.6763, 8.0996, 0.0000], [0.0000, 0.0000, 6.4748]],
  "species": ["Dy", "Dy", "Dy", "Dy", "Dy", "Dy", "Dy", "Dy", "Y", "Er", "Er", "Er", "Er", "Er", "Er"],
  "fractional_positions": [[0.0934, 0.6802, 0.4073], [0.3198, 0.4133, 0.4073], [0.3333, 0.6667, 0.8361], [0.4133, 0.0934, 0.5927], [0.5867, 0.9066, 0.4073], [0.6667, 0.3333, 0.1639], [0.6802, 0.5867, 0.5927], [0.9066, 0.3198, 0.5927], [0.0000, 0.0000, 0.5000], [0.0230, 0.3348, 0.0987], [0.3118, 0.9770, 0.0987], [0.3348, 0.3118, 0.9013], [0.6652, 0.6882, 0.0987], [0.6882, 0.0230, 0.9013], [0.9770, 0.6652, 0.9013]],
  "n_ef_per_ev_atom": 1.521,
  "total_energy_ev_per_atom": -4.471,
  "magmom_total_mub_per_cell": 0.0,
  "relative_energy_mev_per_atom": 105.3,
  "spacegroup": "P-3 (147)",
  "ef_mev_per_atom": 239
}

***

Entry 5:
{
  "formula": "K4NbPb2",
  "functional": "PBE",
  "state": "relaxed",
  "lattice_angstrom": [[-3.3789, 3.3789, 8.5222], [3.3789, -3.3789, 8.5222], [3.3789, 3.3789, -8.5222]],
  "species": ["K", "K", "K", "K", "Nb", "Pb", "Pb"],
  "fractional_positions": [[0.0000, 0.5000, 0.5000], [0.2063, 0.2063, 0.0000], [0.5000, 0.0000, 0.5000], [0.7937, 0.7937, 0.0000], [0.0000, 0.0000, 0.0000], [0.4143, 0.4143, 0.0000], [0.5857, 0.5857, 0.0000]],
  "n_ef_per_ev_atom": 0.862,
  "total_energy_ev_per_atom": -2.363,
  "magmom_total_mub_per_cell": 5.8,
  "spacegroup": "I4/mmm (139)",
  "ef_mev_per_atom": 762
}

***

Entry 6:
{
  "formula": "Nd2YCdC",
  "functional": "PBE",
  "state": "relaxed",
  "lattice_angstrom": [[5.1774, 0.0000, 0.0000], [0.0000, 5.1774, 0.0000], [0.0000, 0.0000, 4.8783]],
  "species": ["Nd", "Nd", "Y", "Cd", "C"],
  "fractional_positions": [[0.0000, 0.5000, 0.0000], [0.5000, 0.0000, 0.0000], [0.0000, 0.0000, 0.5000], [0.5000, 0.5000, 0.5000], [0.0000, 0.0000, 0.0000]],
  "n_ef_per_ev_atom": 1.040,
  "total_energy_ev_per_atom": -5.436,
  "magmom_total_mub_per_cell": 0.0,
  "spacegroup": "P4/mmm (123)",
  "ef_mev_per_atom": -209
}

***

What did the third record say?
{
  "formula": "NdHoS",
  "functional": "PBE",
  "state": "relaxed",
  "lattice_angstrom": [[3.8408, 0.0000, 0.0000], [-1.9204, 3.3263, 0.0000], [0.0000, 0.0000, 6.4698]],
  "species": ["Nd", "Ho", "S"],
  "fractional_positions": [[0.0000, 0.0000, 0.0000], [0.6667, 0.3333, 0.4776], [0.3333, 0.6667, 0.7230]],
  "n_ef_per_ev_atom": 0.352,
  "total_energy_ev_per_atom": -5.741,
  "magmom_total_mub_per_cell": 0.0,
  "relative_energy_mev_per_atom": 0.0,
  "formation_energy_uncorrected_mev_per_atom": -1250,
  "spacegroup": "P3m1 (156)"
}

***

What did the sixth record say?
{
  "formula": "Nd2YCdC",
  "functional": "PBE",
  "state": "relaxed",
  "lattice_angstrom": [[5.1774, 0.0000, 0.0000], [0.0000, 5.1774, 0.0000], [0.0000, 0.0000, 4.8783]],
  "species": ["Nd", "Nd", "Y", "Cd", "C"],
  "fractional_positions": [[0.0000, 0.5000, 0.0000], [0.5000, 0.0000, 0.0000], [0.0000, 0.0000, 0.5000], [0.5000, 0.5000, 0.5000], [0.0000, 0.0000, 0.0000]],
  "n_ef_per_ev_atom": 1.040,
  "total_energy_ev_per_atom": -5.436,
  "magmom_total_mub_per_cell": 0.0,
  "spacegroup": "P4/mmm (123)",
  "ef_mev_per_atom": -209
}